20
Lattice="-6.9780 1.0615 3.2858 -3.0936 -6.9591 -4.3216 2.3788 -6.6375 8.9855" Properties=species:S:1:pos:R:3 comment="PrIn3Br6 | the Alexandria database | GGA-PBE | optimized geometry" raw_formation_energy_ev_per_atom=-1.15 sg=P2_1/c energy_ev_per_atom=-3.45 volume_a3_per_atom=38.8 pbc="T T T"
Pr -3.8464 -6.2676 3.9749
Pr 0.0000 0.0000 0.0000
In -4.6523 -11.0127 4.7519
In -5.0358 -2.9488 -0.5179
In -3.0405 -1.5224 3.1978
In -1.3047 -5.8671 0.0803
In 1.1894 -3.3188 4.4928
In -6.3881 -6.6680 7.8694
Br -2.9950 -6.7852 10.1360
Br -3.9182 -4.7666 6.4963
Br -5.2159 -4.0390 2.6447
Br -2.4769 -8.4961 5.3050
Br -3.7745 -7.7685 1.4534
Br -4.6977 -5.7499 -2.1862
Br -1.2190 -5.1750 3.2689
Br -1.7761 -2.3327 0.1407
Br 0.5636 -5.4116 7.0327
Br -8.2563 -7.1235 0.9170
Br -5.9166 -10.2024 7.8090
Br -6.4737 -7.3601 4.6808